Record 1
Compound: Tm2OsS
Source: Alexandria via LeMat-Bulk
Functional: PBE
Structure: optimized geometry

```
4
Lattice="3.351 0.000 0.000 0.000 3.351 0.000 0.000 0.000 6.998" Properties=species:S:1:pos:R:3 pbc="T T T"
Tm 0.000 0.000 1.680
Tm 0.000 0.000 5.318
Os 1.676 1.676 0.000
S 1.676 1.676 3.499
```

Output
DOS at the Fermi energy = 0.212 states/eV/atom
ΔE_f (raw) = -0.955 eV per atom

Record 2
Compound: Rb3Mn2Br7
Source: Alexandria via LeMat-Bulk
Functional: PBE
Structure: optimized geometry

```
12
Lattice="2.729 -13.980 0.000 2.729 13.980 0.000 0.000 0.000 5.337" Properties=species:S:1:pos:R:3 pbc="T T T"
Rb 0.000 0.000 0.000
Rb 2.729 9.003 0.000
Rb 2.729 -9.003 0.000
Mn 2.729 2.782 2.668
Mn 2.729 -2.782 2.668
Br 2.729 11.344 2.668
Br 2.729 5.396 2.668
Br 2.729 2.652 0.000
Br 2.729 0.000 2.668
Br 2.729 -2.652 0.000
Br 2.729 -5.396 2.668
Br 2.729 -11.344 2.668
```

Output
ΔE_f (raw) = -1.245 eV per atom
Relative energy among the computed polymorphs = 19 meV/atom

Record 3
Compound: Cd3Pd
Source: Alexandria via LeMat-Bulk
Functional: PBE
Structure: optimized geometry

```
16
Lattice="3.138 0.000 0.000 0.000 10.975 0.000 0.000 0.000 9.178" Properties=species:S:1:pos:R:3 pbc="T T T"
Cd 0.000 0.334 2.294
Cd 0.000 4.024 0.276
Cd 0.000 4.024 4.313
Cd 0.000 6.951 4.865
Cd 0.000 6.951 8.901
Cd 0.000 10.641 6.883
Cd 1.569 1.464 4.865
Cd 1.569 1.464 8.901
Cd 1.569 5.153 6.883
Cd 1.569 5.822 2.294
Cd 1.569 9.512 0.276
Cd 1.569 9.512 4.313
Pd 0.000 2.731 6.883
Pd 0.000 8.244 2.294
Pd 1.569 2.757 2.294
Pd 1.569 8.218 6.883
```

Output
DOS at the Fermi energy = 0.357 states/eV/atom
Energy relative to the elements = -0.20 eV/atom

Record 4
Compound: BeCoTeI2
Source: Alexandria via LeMat-Bulk
Functional: PBE
Structure: optimized geometry

```
5
Lattice="5.221 0.000 0.000 0.000 5.221 0.000 0.000 0.000 5.085" Properties=species:S:1:pos:R:3 pbc="T T T"
Be 0.000 0.000 0.000
Co 2.610 2.610 2.542
Te 0.000 0.000 2.542
I 0.000 2.610 0.000
I 2.610 0.000 0.000
```

Output
DOS at the Fermi energy = 1.657 states/eV/atom
ΔE_f (raw) = 0.832 eV per atom
Relative energy among the computed polymorphs = 23 meV/atom

Record 5
Compound: Li23Tl6
Source: Alexandria via LeMat-Bulk
Functional: PBE
Structure: optimized geometry

```
29
Lattice="0.000 6.579 6.579 6.579 0.000 6.579 6.579 6.579 0.000" Properties=species:S:1:pos:R:3 pbc="T T T"
Li 0.000 0.000 0.000
Li 3.290 3.290 0.000
Li 3.290 0.000 3.290
Li 6.579 3.290 3.290
Li 1.820 1.820 1.820
Li 4.760 4.760 1.820
Li 4.760 1.820 4.760
Li 8.044 5.115 5.115
Li 5.115 5.115 5.115
Li 8.044 8.044 5.115
Li 8.044 5.115 8.044
Li 11.339 8.399 8.399
Li 0.000 3.290 3.290
Li 3.290 6.579 3.290
Li 3.290 3.290 6.579
Li 1.820 4.760 4.760
Li 5.115 8.044 5.115
Li 5.115 5.115 8.044
Li 8.044 8.044 8.044
Li 5.115 8.044 8.044
Li 8.399 11.339 8.399
Li 8.399 8.399 11.339
Li 11.339 11.339 11.339
Tl 6.579 6.579 3.086
Tl 6.579 3.086 6.579
Tl 10.073 6.579 6.579
Tl 3.086 6.579 6.579
Tl 6.579 10.073 6.579
Tl 6.579 6.579 10.073
```

Output
DOS at the Fermi energy = 0.437 states/eV/atom
Energy relative to the elements = -0.13 eV/atom

Record 6
Compound: PaTiRh5
Source: Alexandria via LeMat-Bulk
Functional: PBE
Structure: optimized geometry

```
7
Lattice="4.115 0.000 0.000 0.000 4.115 0.000 0.000 0.000 6.910" Properties=species:S:1:pos:R:3 pbc="T T T"
Pa 0.000 0.000 0.000
Ti 2.058 2.058 3.455
Rh 0.000 2.058 1.971
Rh 0.000 2.058 4.939
Rh 2.058 0.000 1.971
Rh 2.058 0.000 4.939
Rh 2.058 2.058 0.000
```

Output
DOS at the Fermi energy = 0.877 states/eV/atom
Energy relative to the elements = -0.57 eV/atom

Record 7
Compound: ZrNpCr2S6
Source: Alexandria via LeMat-Bulk
Functional: PBE
Structure: optimized geometry

```
10
Lattice="3.203 1.849 5.850 -3.203 1.849 5.850 0.000 -3.699 5.850" Properties=species:S:1:pos:R:3 pbc="T T T"
Zr 0.000 0.000 0.000
Np 0.000 0.000 8.654
Cr 0.000 0.000 3.312
Cr 0.000 0.000 12.004
S -1.202 -2.149 7.521
S -2.015 0.091 10.482
S -1.260 2.116 7.521
S 0.929 -1.791 10.482
S 2.462 0.033 7.521
S 1.087 1.700 10.482
```

Output
DOS at the Fermi energy = 0.958 states/eV/atom
ΔE_f (raw) = -1.005 eV per atom

Record 8
Compound: ThAl9Ir2
Source: Alexandria via LeMat-Bulk
Functional: PBE
Structure: optimized geometry

```
24
Lattice="-5.331 5.331 3.545 5.331 -5.331 3.545 5.331 5.331 -3.545" Properties=species:S:1:pos:R:3 pbc="T T T"
Th 5.331 2.665 0.886
Th 0.000 2.665 2.659
Al 5.331 -2.665 2.659
Al 4.035 -0.514 1.307
Al 6.627 -0.514 1.307
Al 2.151 1.369 0.466
Al 8.511 1.369 0.466
Al 4.035 4.816 -1.307
Al 1.296 -0.514 2.238
Al 2.151 3.961 0.466
Al 3.180 -1.369 4.011
Al 2.151 6.700 -0.466
Al 3.180 1.369 3.079
Al 4.035 5.845 1.307
Al 1.296 0.514 4.852
Al -3.180 3.961 3.079
Al 3.180 3.961 3.079
Al -1.296 5.845 2.238
Al 1.296 5.845 2.238
Al 0.000 7.996 0.886
Ir 0.000 0.000 0.000
Ir 2.665 2.665 -1.772
Ir 2.665 -2.665 1.772
Ir 0.000 5.331 0.000
```

Output
DOS at the Fermi energy = 0.392 states/eV/atom
Energy relative to the elements = -0.55 eV/atom